Entry from the Alexandria database: an optimized crystal structure of NaMnVO3 (PBE with a Hubbard U).

a b c (Å): 3.162 13.950 8.486
angles (deg): 90.00 90.00 90.00
Space group Cmcm (No. 63)
Asymmetric unit:
Na (0.000, 0.130, 0.250) (multiplicity 4)
Mn (0.000, 0.102, 0.750) (multiplicity 4)
V (0.000, 0.500, 0.000) (multiplicity 4)
O (0.000, 0.097, 0.516) (multiplicity 8)
O (0.000, 0.496, 0.750) (multiplicity 4)

Computed properties:
- final energy (eV/atom) = -6.797
- size of the total moment (μB per formula unit) = 7.00
- theoretical density (g/cm3) = 3.14